(1)
14
Lattice="0.0000 5.6298 5.6490 3.0627 0.0000 5.6490 3.0627 5.6298 0.0000" Properties=species:S:1:pos:R:3 comment="PBE ZnB2O4, relaxed" e_tot_ev_per_cell=-94.6 e_form_raw_ev_per_atom=-1.8362 n_ef_per_ev_fu=0.0 pbc="T T T"
Zn 0.7657 1.4074 1.4122
Zn 5.3597 9.8521 9.8857
B 3.0627 2.8149 2.8245
B 1.5314 5.6298 2.8245
B 1.5314 2.8149 5.6490
B 3.0627 5.6298 5.6490
O 1.8504 2.5661 2.5685
O 4.2751 5.3810 5.3930
O 2.7437 5.8786 2.5685
O 2.7437 2.5661 5.9050
O 3.3817 8.6934 5.3930
O 3.3817 5.3810 8.7295
O 1.8504 5.8786 5.9050
O 4.2751 8.6934 8.7295

---

(2)
24
Lattice="5.4529 -3.2792 0.0000 5.4529 3.2792 0.0000 0.0000 0.0000 5.2206" Properties=species:S:1:pos:R:3 comment="PBE ZnB4O7, relaxed" e_tot_ev_per_cell=-178.7 e_form_raw_ev_per_atom=-2.2199 n_ef_per_ev_fu=0.0 polymorph_energy_mev_per_atom=58 pbc="T T T"
Zn 5.4529 1.7531 3.9154
Zn 5.4529 -1.7531 1.3051
B 4.1701 2.0098 1.3051
B 3.2440 0.0000 0.0000
B 3.2440 0.0000 2.6103
B 6.7356 2.0098 1.3051
B 4.1701 -2.0098 3.9154
B 7.6617 0.0000 0.0000
B 7.6617 0.0000 2.6103
B 6.7356 -2.0098 3.9154
O 5.4529 2.7514 1.3051
O 4.0540 1.1947 0.1203
O 4.0540 1.1947 2.4900
O 2.4014 0.1647 3.9154
O 2.4014 -0.1647 1.3051
O 6.8518 1.1947 0.1203
O 6.8518 1.1947 2.4900
O 4.0540 -1.1947 2.7306
O 4.0540 -1.1947 5.1003
O 8.5044 0.1647 3.9154
O 8.5044 -0.1647 1.3051
O 6.8518 -1.1947 2.7306
O 6.8518 -1.1947 5.1003
O 5.4529 -2.7514 3.9154

---

(3)
14
Lattice="5.6938 0.0000 0.0000 0.0000 5.6938 0.0000 0.0000 0.0000 5.6938" Properties=species:S:1:pos:R:3 comment="PBE Zn3BO3, relaxed" e_tot_ev_per_cell=-55.9 e_form_raw_ev_per_atom=-0.3659 n_ef_per_ev_fu=1.7 pbc="T T T"
Zn 0.0000 1.4234 2.8469
Zn 0.0000 4.2703 2.8469
Zn 1.4234 2.8469 0.0000
Zn 2.8469 0.0000 1.4234
Zn 2.8469 0.0000 4.2703
Zn 4.2703 2.8469 0.0000
B 0.0000 0.0000 0.0000
B 2.8469 2.8469 2.8469
O 0.0000 2.8469 1.4234
O 0.0000 2.8469 4.2703
O 1.4234 0.0000 2.8469
O 2.8469 1.4234 0.0000
O 2.8469 4.2703 0.0000
O 4.2703 0.0000 2.8469